[1]
Compound: CuNiGeAu
Source: OQMD via LeMat-Bulk
Functional: GGA-PBE
Structure: relaxed

The structure belongs to space group F-43m (No. 216); the cell edges are 6.1463, 6.1463 and 6.1463 Å and the angles 90.00°, 90.00° and 90.00°. The distinct sites, in fractional coordinates, are Cu at (0.0000, 0.0000, 0.0000), Ni at (0.2500, 0.2500, 0.2500), Ge at (0.2500, 0.2500, 0.7500) and Au at (0.0000, 0.0000, 0.5000).

The value obtained for the spin magnetization is 0.01 μB/f.u. The value obtained for the relative energy among the computed polymorphs is 98 meV per atom.


[2]
Compound: TbYTe2Br2
Source: OQMD via LeMat-Bulk
Functional: GGA-PBE
Structure: relaxed

The structure belongs to space group Pmm2 (No. 25); the cell edges are 4.2402, 6.1234 and 9.0230 Å and the angles 90.00°, 90.00° and 90.00°. The distinct sites, in fractional coordinates, are Tb at (0.0000, 0.0000, 0.0000), Y at (0.5000, 0.5000, 0.7352), Te at (0.0000, 0.5000, 0.9844), Te at (0.5000, 0.0000, 0.7498), Br at (0.0000, 0.5000, 0.5278) and Br at (0.5000, 0.0000, 0.2079).

The value obtained for the spin magnetization is 0.00 μB/f.u. Its raw total energy is -5.072 eV per atom.